Entry 1:
Computed, not measured: a crystal of TaCuC2 relaxed with PBEsol at the meta-GGA SCAN level of DFT.

The structure in CIF format:
```
data_TaCuC2
_chemical_formula_sum 'Ta4 Cu4 C8'
_symmetry_space_group_name_H-M 'F m -3 m'
_symmetry_Int_Tables_number 225
_symmetry_space_group_name_Hall '-F 4 2 3'
_cell_length_a 5.3644
_cell_length_b 5.3644
_cell_length_c 5.3644
_cell_angle_alpha 90.00
_cell_angle_beta 90.00
_cell_angle_gamma 90.00
loop_
_atom_site_label
_atom_site_type_symbol
_atom_site_fract_x
_atom_site_fract_y
_atom_site_fract_z
Ta1 Ta 0.0000 0.0000 0.0000
Cu1 Cu 0.0000 0.0000 0.5000
C1 C 0.2500 0.2500 0.2500
```

Values from the calculation:
energy of formation	1.130	eV/atom

***

Entry 2:
Computed, not measured: a crystal of LaSc2Se relaxed with PBEsol at the meta-GGA SCAN level of DFT.

The structure in CIF format:
```
data_LaSc2Se
_chemical_formula_sum 'La3 Sc6 Se3'
_symmetry_space_group_name_H-M 'R -3 m'
_symmetry_Int_Tables_number 166
_symmetry_space_group_name_Hall '-R 3 2"'
_cell_length_a 3.5043
_cell_length_b 3.5043
_cell_length_c 28.9802
_cell_angle_alpha 90.00
_cell_angle_beta 90.00
_cell_angle_gamma 120.00
loop_
_atom_site_label
_atom_site_type_symbol
_atom_site_fract_x
_atom_site_fract_y
_atom_site_fract_z
La1 La 0.0000 0.0000 0.0000
Sc1 Sc 0.0000 0.0000 0.1098
Se1 Se 0.0000 0.0000 0.5000
```

Values from the calculation:
energy relative to the elements, uncorrected	-622.4	meV per atom

***

Entry 3:
Computed, not measured: a crystal of Tb2MnSbO7 relaxed with PBEsol at the meta-GGA SCAN level of DFT.

The structure in CIF format:
```
data_Tb2MnSbO7
_chemical_formula_sum 'Tb8 Mn4 Sb4 O28'
_symmetry_space_group_name_H-M 'I m m a'
_symmetry_Int_Tables_number 74
_symmetry_space_group_name_Hall '-I 2b 2'
_cell_length_a 7.1023
_cell_length_b 7.3485
_cell_length_c 10.2140
_cell_angle_alpha 90.00
_cell_angle_beta 90.00
_cell_angle_gamma 90.00
loop_
_atom_site_label
_atom_site_type_symbol
_atom_site_fract_x
_atom_site_fract_y
_atom_site_fract_z
Tb1 Tb 0.0000 0.0000 0.0000
Tb2 Tb 0.2500 0.2500 0.2500
Mn1 Mn 0.2500 0.2500 0.7500
Sb1 Sb 0.0000 0.0000 0.5000
O1 O 0.0000 0.2500 0.1236
O2 O 0.0000 0.2500 0.4181
O3 O 0.0000 0.2500 0.8300
O4 O 0.2086 0.0357 0.6260
```

Values from the calculation:
energy relative to the elements, uncorrected	-2844.0	meV per atom

***

Entry 4:
Computed, not measured: a crystal of ScSnPbBr2 relaxed with PBEsol at the meta-GGA SCAN level of DFT.

The structure in CIF format:
```
data_ScSnPbBr2
_chemical_formula_sum 'Sc1 Sn1 Pb1 Br2'
_symmetry_space_group_name_H-M 'P 4/m m m'
_symmetry_Int_Tables_number 123
_symmetry_space_group_name_Hall '-P 4 2'
_cell_length_a 5.4142
_cell_length_b 5.4142
_cell_length_c 5.8264
_cell_angle_alpha 90.00
_cell_angle_beta 90.00
_cell_angle_gamma 90.00
loop_
_atom_site_label
_atom_site_type_symbol
_atom_site_fract_x
_atom_site_fract_y
_atom_site_fract_z
Sc1 Sc 0.0000 0.0000 0.0000
Sn1 Sn 0.0000 0.0000 0.5000
Pb1 Pb 0.5000 0.5000 0.0000
Br1 Br 0.0000 0.5000 0.5000
```

Values from the calculation:
energy relative to the elements, uncorrected	96.1	meV per atom

***

Entry 5:
Computed, not measured: a crystal of NbSnP3 relaxed with PBEsol at the meta-GGA SCAN level of DFT.

The structure in CIF format:
```
data_NbSnP3
_chemical_formula_sum 'Nb1 Sn1 P3'
_symmetry_space_group_name_H-M 'P m -3 m'
_symmetry_Int_Tables_number 221
_symmetry_space_group_name_Hall '-P 4 2 3'
_cell_length_a 4.8041
_cell_length_b 4.8041
_cell_length_c 4.8041
_cell_angle_alpha 90.00
_cell_angle_beta 90.00
_cell_angle_gamma 90.00
loop_
_atom_site_label
_atom_site_type_symbol
_atom_site_fract_x
_atom_site_fract_y
_atom_site_fract_z
Nb1 Nb 0.0000 0.0000 0.0000
Sn1 Sn 0.5000 0.5000 0.5000
P1 P 0.0000 0.0000 0.5000
```

Values from the calculation:
energy of formation	0.374	eV/atom

***

Entry 6:
Computed, not measured: a crystal of Al2AsC relaxed with PBEsol at the meta-GGA SCAN level of DFT.

The structure in CIF format:
```
data_Al2AsC
_chemical_formula_sum 'Al8 As4 C4'
_symmetry_space_group_name_H-M 'I -4 2 d'
_symmetry_Int_Tables_number 122
_symmetry_space_group_name_Hall 'I -4 2bw'
_cell_length_a 5.2642
_cell_length_b 5.2642
_cell_length_c 9.5472
_cell_angle_alpha 90.00
_cell_angle_beta 90.00
_cell_angle_gamma 90.00
loop_
_atom_site_label
_atom_site_type_symbol
_atom_site_fract_x
_atom_site_fract_y
_atom_site_fract_z
Al1 Al 0.1607 0.2500 0.1250
As1 As 0.0000 0.0000 0.5000
C1 C 0.0000 0.0000 0.0000
```

Values from the calculation:
energy of formation	-0.064	eV/atom

***

The evaluated E_tot for the records listed, in turn: -389.9; -282.4; -895.8; -164.4; -98.4; -184.2 eV per cell.